P.
Compound: Ga2SbPb
Source: Alexandria via LeMat-Bulk
Functional: PBE
Structure: optimized geometry

Values from the calculation:
Density ... 7.76 g/cm3
Space group ... P4/mmm (123)

Unit cell a=4.272 b=4.843 c=4.843 alpha=90.00 beta=90.00 gamma=90.00
Fractional positions:
Sb 0.500 0.000 0.000
Ga 0.000 0.000 0.500
Ga 0.000 0.500 0.000
Pb 0.500 0.500 0.500

***

Q.
Compound: Ga2SbPb
Source: Alexandria via LeMat-Bulk
Functional: PBE
Structure: optimized geometry

Values from the calculation:
Density ... 7.78 g/cm3
Space group ... P4/mmm (123)

Unit cell a=3.786 b=3.786 c=6.977 alpha=90.00 beta=90.00 gamma=90.00
Fractional positions:
Sb 0.500 0.500 0.000
Ga 0.000 0.000 0.213
Pb 0.500 0.500 0.500
Ga 0.000 0.000 0.787

***

R.
Compound: Ga2SbPb
Source: Alexandria via LeMat-Bulk
Functional: PBE
Structure: optimized geometry

Values from the calculation:
Density ... 7.85 g/cm3
Space group ... Fm-3m (225)

Unit cell a=5.195 b=5.195 c=5.195 alpha=60.00 beta=60.00 gamma=60.00
Fractional positions:
Sb 0.000 0.000 0.000
Ga 0.250 0.250 0.250
Pb 0.500 0.500 0.500
Ga 0.750 0.750 0.750

***

Q: Which of them is the least stable? A: R.